{"formula": "TlHg3Pb3", "functional": "PBE", "state": "relaxed", "lattice_angstrom": [[7.6078, 0.5505, 4.0452], [2.6722, 7.1443, 4.0452], [0.7354, 0.5505, 8.5849]], "species": ["Hg", "Hg", "Hg", "Hg", "Hg", "Hg", "Pb", "Pb", "Pb", "Pb", "Pb", "Pb", "Tl", "Tl"], "frac_coords": [[0.8078, 0.0963, 0.2684], [0.2684, 0.8078, 0.0963], [0.1922, 0.9037, 0.7316], [0.9037, 0.7316, 0.1922], [0.7316, 0.1922, 0.9037], [0.0963, 0.2684, 0.8078], [0.9458, 0.2528, 0.4268], [0.4268, 0.9458, 0.2528], [0.5732, 0.0542, 0.7472], [0.7472, 0.5732, 0.0542], [0.0542, 0.7472, 0.5732], [0.2528, 0.4268, 0.9458], [0.3475, 0.3475, 0.3475], [0.6525, 0.6525, 0.6525]], "de_polymorph_mev_per_atom": 9.3, "delta_e_f_ev_per_atom": 0.042, "crystal_system": "trigonal", "magnetic_moment_mub_per_cell": 0.000}